[1]
KMg2Mo: relaxed, PBE-GGA.

## Properties
* ΔE_f: 785 meV/atom

Geometry as POSCAR:
```
KMg2Mo
1.0
7.796 0.000 0.000
0.000 7.821 0.000
0.000 0.000 2.899
K Mg Mo
2 4 2
direct
0.000 0.000 0.000
0.500 0.500 0.000
0.250 0.250 0.500
0.250 0.750 0.500
0.750 0.250 0.500
0.750 0.750 0.500
0.000 0.500 0.000
0.500 0.000 0.000
```

[2]
PmPr4Ho2: relaxed, PBE-GGA.

## Properties
* ΔE_f: 120 meV/atom

Geometry as POSCAR:
```
PmPr4Ho2
1.0
6.242 0.000 0.000
0.000 6.721 0.000
-3.054 0.000 11.463
Pm Pr Ho
2 8 4
direct
0.155 0.250 0.157
0.845 0.750 0.843
0.020 0.250 0.857
0.150 0.250 0.446
0.354 0.506 0.714
0.354 0.994 0.714
0.646 0.006 0.286
0.646 0.494 0.286
0.850 0.750 0.554
0.980 0.750 0.143
0.289 0.750 0.430
0.401 0.750 0.003
0.599 0.250 0.997
0.711 0.250 0.570
```

[3]
AsSe2BrF: relaxed, PBE-GGA.

## Properties
* E_form (uncorrected): 0.46 eV per atom

Geometry as POSCAR:
```
AsSe2BrF
1.0
4.369 0.000 0.000
0.000 4.369 0.000
0.000 0.000 5.749
As Se Br F
1 2 1 1
direct
0.000 0.000 0.000
0.000 0.500 0.500
0.500 0.000 0.500
0.500 0.500 0.000
0.500 0.500 0.500
```

[4]
DyTl2Pb: relaxed, PBE-GGA.

## Properties
* ΔE_f: -107 meV/atom

Geometry as POSCAR:
```
DyTl2Pb
1.0
3.985 0.000 0.000
0.000 3.985 0.000
0.000 0.000 7.208
Dy Tl Pb
1 2 1
direct
0.000 0.000 0.000
0.500 0.500 0.249
0.500 0.500 0.751
0.000 0.000 0.500
```

[5]
Tb2Ho9Er3: relaxed, PBE-GGA.

## Properties
* ΔE_f: 122 meV/atom

Geometry as POSCAR:
```
Tb2Ho9Er3
1.0
6.150 0.000 0.000
0.391 8.631 0.000
1.880 1.516 8.325
Tb Ho Er
2 9 3
direct
0.047 0.031 0.298
0.953 0.969 0.702
0.010 0.752 0.082
0.153 0.333 0.506
0.311 0.383 0.103
0.411 0.687 0.304
0.500 0.000 0.500
0.589 0.313 0.696
0.689 0.617 0.897
0.847 0.667 0.494
0.990 0.248 0.918
0.247 0.620 0.726
0.500 0.000 0.000
0.753 0.380 0.274
```

[6]
SmYBi: relaxed, PBE-GGA.

## Properties
* ΔE_f: -299 meV/atom

Geometry as POSCAR:
```
SmYBi
1.0
5.227 0.000 0.000
-2.613 4.526 0.000
0.000 0.000 4.072
Sm Y Bi
1 1 1
direct
0.000 0.000 0.000
0.667 0.333 0.472
0.333 0.667 0.664
```

[7]
InP2Au: relaxed, PBE-GGA.

## Properties
* ΔE_f: 144 meV/atom

Geometry as POSCAR:
```
InP2Au
1.0
3.822 0.000 0.000
-1.911 3.310 0.000
0.000 0.000 18.531
In P Au
3 6 3
direct
0.000 0.000 0.000
0.333 0.667 0.667
0.667 0.333 0.333
0.000 0.000 0.237
0.000 0.000 0.763
0.333 0.667 0.429
0.333 0.667 0.904
0.667 0.333 0.096
0.667 0.333 0.571
0.000 0.000 0.500
0.333 0.667 0.167
0.667 0.333 0.833
```

[8]
ZrAlFe2H: relaxed, PBE-GGA.

## Properties
* VASP energy: -6.62 eV/atom

Geometry as POSCAR:
```
ZrAlFe2H
1.0
3.907 0.000 0.000
0.000 3.907 0.000
0.000 0.000 4.003
Zr Al Fe H
1 1 2 1
direct
0.000 0.000 0.000
0.500 0.500 0.000
0.000 0.500 0.500
0.500 0.000 0.500
0.000 0.000 0.500
```

[9]
Bi2P2Pb: relaxed, PBE-GGA.

## Properties
* ΔE_f: 331 meV/atom

Geometry as POSCAR:
```
Bi2P2Pb
1.0
5.368 0.000 0.000
0.000 5.368 0.000
0.000 0.000 9.983
Bi P Pb
4 4 2
direct
0.000 0.000 0.159
0.000 0.000 0.841
0.500 0.500 0.341
0.500 0.500 0.659
0.000 0.500 0.250
0.000 0.500 0.750
0.500 0.000 0.250
0.500 0.000 0.750
0.000 0.000 0.500
0.500 0.500 0.000
```

[10]
DyCuSnPd: relaxed, PBE-GGA.

## Properties
* ΔE_f: -633 meV/atom

Geometry as POSCAR:
```
DyCuSnPd
1.0
6.724 0.000 0.000
0.000 6.724 0.000
0.000 0.000 6.724
Dy Cu Sn Pd
4 4 4 4
direct
0.000 0.000 0.000
0.000 0.500 0.500
0.500 0.000 0.500
0.500 0.500 0.000
0.250 0.250 0.750
0.250 0.750 0.250
0.750 0.250 0.250
0.750 0.750 0.750
0.000 0.000 0.500
0.000 0.500 0.000
0.500 0.000 0.000
0.500 0.500 0.500
0.250 0.250 0.250
0.250 0.750 0.750
0.750 0.250 0.750
0.750 0.750 0.250
```

[11]
TiCoIr3: relaxed, PBE-GGA.

## Properties
* ΔE_f: 991 meV/atom

Geometry as POSCAR:
```
TiCoIr3
1.0
4.428 0.000 0.000
0.000 4.428 0.000
0.000 0.000 4.428
Ti Co Ir
1 1 3
direct
0.000 0.000 0.000
0.500 0.500 0.500
0.000 0.500 0.500
0.500 0.000 0.500
0.500 0.500 0.000
```

[12]
EuThAgBi: relaxed, PBE-GGA.

## Properties
* ΔE_f: -317 meV/atom

Geometry as POSCAR:
```
EuThAgBi
1.0
7.777 0.000 0.000
0.000 7.777 0.000
0.000 0.000 7.777
Eu Th Ag Bi
4 4 4 4
direct
0.000 0.000 0.000
0.000 0.500 0.500
0.500 0.000 0.500
0.500 0.500 0.000
0.000 0.000 0.500
0.000 0.500 0.000
0.500 0.000 0.000
0.500 0.500 0.500
0.250 0.250 0.250
0.250 0.750 0.750
0.750 0.250 0.750
0.750 0.750 0.250
0.250 0.250 0.750
0.250 0.750 0.250
0.750 0.250 0.250
0.750 0.750 0.750
```